Record 1
DFT (PBE) results for a geometry-optimized CaLa2B10O19 structure.

Cell and atoms, written as CIF:
```
data_CaLa2B10O19
_chemical_formula_sum 'Ca2 La4 B20 O38'
_space_group_name_H-M_alt 'C 1 2 1'
_space_group_IT_number 5
_space_group_name_Hall 'C 2y'
_cell_length_a 11.1548
_cell_length_b 6.6302
_cell_length_c 9.1939
_cell_angle_alpha 90.00
_cell_angle_beta 91.72
_cell_angle_gamma 90.00
loop_
_atom_site_label
_atom_site_type_symbol
_atom_site_fract_x
_atom_site_fract_y
_atom_site_fract_z
Ca1 Ca 0.0000 0.0000 0.0000
La1 La 0.1631 0.8098 0.6448
B1 B 0.0381 0.4838 0.3373
B2 B 0.0658 0.1156 0.3732
B3 B 0.1164 0.2479 0.7701
B4 B 0.1716 0.7951 0.2909
B5 B 0.2321 0.7869 0.0281
O1 O 0.0000 0.0434 0.5000
O2 O 0.0183 0.0983 0.7534
O3 O 0.0704 0.6833 0.3636
O4 O 0.0737 0.4534 0.7222
O5 O 0.1108 0.3291 0.3844
O6 O 0.1448 0.8105 0.1339
O7 O 0.1495 0.2535 0.9271
O8 O 0.1758 0.9949 0.3627
O9 O 0.1947 0.8056 0.8877
O10 O 0.2174 0.1836 0.6817
```


Record 2
DFT (PBE) results for a geometry-optimized Ca3La3B5O15 structure.

Cell and atoms, written as CIF:
```
data_Ca3La3B5O15
_chemical_formula_sum 'Ca6 La6 B10 O30'
_space_group_name_H-M_alt 'P 63 m c'
_space_group_IT_number 186
_space_group_name_Hall 'P 6c -2c'
_cell_length_a 10.6023
_cell_length_b 10.6023
_cell_length_c 6.4445
_cell_angle_alpha 90.00
_cell_angle_beta 90.00
_cell_angle_gamma 120.00
loop_
_atom_site_label
_atom_site_type_symbol
_atom_site_fract_x
_atom_site_fract_y
_atom_site_fract_z
Ca1 Ca 0.0540 0.5270 0.0000
La1 La 0.1557 0.3113 0.6847
B1 B 0.0000 0.0000 0.0181
B2 B 0.1979 0.3959 0.2164
B3 B 0.3333 0.6667 0.6661
O1 O 0.0716 0.3718 0.3179
O2 O 0.0753 0.1506 0.0247
O3 O 0.1808 0.5904 0.6668
O4 O 0.2259 0.4518 0.0192
```


| no. | E_form (uncorrected) (eV/atom) | density of states at the Fermi level (states/eV per atom) |
| --- | --- | --- |
| 1 | -2.732 | 0.000 |
| 2 | -3.024 | 0.000 |